# 1
A plane-wave DFT calculation with PBE was carried out for a geometry-optimized NbTl3Fe structure. Values from VASP.

The structure in Quantum ESPRESSO input format:
```
&SYSTEM
  ibrav = 0, nat = 5, ntyp = 3
/
ATOMIC_SPECIES
Tl 204.38 Tl.upf
Nb 92.91 Nb.upf
Fe 55.84 Fe.upf
ATOMIC_POSITIONS crystal
Tl 0.0000 0.5000 0.0000
Tl 0.0000 0.0000 0.5000
Tl 0.5000 0.0000 0.0000
Nb 0.5000 0.5000 0.5000
Fe 0.0000 0.0000 0.0000
CELL_PARAMETERS angstrom
4.9461 0.0000 0.0000
0.0000 4.9461 0.0000
0.0000 0.0000 4.9461
```

Results
Crystal system ... cubic
Formation energy from the elements ... 1205 meV/atom
Energy above the lowest structure with this stoichiometry ... 0.0000 eV per atom
SG ... Pm-3m

***

# 2
A plane-wave DFT calculation with PBE was carried out for a geometry-optimized ZrNbTl2Fe structure. Values from VASP.

The structure in Quantum ESPRESSO input format:
```
&SYSTEM
  ibrav = 0, nat = 5, ntyp = 4
/
ATOMIC_SPECIES
Tl 204.38 Tl.upf
Nb 92.91 Nb.upf
Zr 91.22 Zr.upf
Fe 55.84 Fe.upf
ATOMIC_POSITIONS crystal
Tl 0.0000 0.0000 0.5000
Tl 0.5000 0.0000 0.0000
Nb 0.0000 0.5000 0.0000
Zr 0.0000 0.0000 0.0000
Fe 0.5000 0.5000 0.5000
CELL_PARAMETERS angstrom
-5.2067 1.3554 1.4775
-1.3085 -4.7409 -0.2618
1.3502 -0.6693 5.3721
```

Results
Crystal system ... tetragonal
Formation energy from the elements ... 1536 meV/atom
SG ... P4/mmm

***

# 3
A plane-wave DFT calculation with PBE was carried out for a geometry-optimized ZrNb2TlFe structure. Values from VASP.

The structure in Quantum ESPRESSO input format:
```
&SYSTEM
  ibrav = 0, nat = 5, ntyp = 4
/
ATOMIC_SPECIES
Tl 204.38 Tl.upf
Nb 92.91 Nb.upf
Zr 91.22 Zr.upf
Fe 55.84 Fe.upf
ATOMIC_POSITIONS crystal
Tl 0.5000 0.5000 0.5000
Nb 0.0000 0.0000 0.5000
Nb 0.5000 0.0000 0.0000
Zr 0.0000 0.0000 0.0000
Fe 0.0000 0.5000 0.0000
CELL_PARAMETERS angstrom
-2.6783 -2.2923 -3.5865
-0.9449 -3.3283 2.8330
-4.1217 2.4546 1.5091
```

Results
Crystal system ... tetragonal
Formation energy from the elements ... 1550 meV/atom
SG ... P4/mmm

***

# 4
A plane-wave DFT calculation with PBE was carried out for a geometry-optimized TmNbFe2 structure. Values from VASP.

The structure in Quantum ESPRESSO input format:
```
&SYSTEM
  ibrav = 0, nat = 4, ntyp = 3
/
ATOMIC_SPECIES
Nb 92.91 Nb.upf
Tm 168.93 Tm.upf
Fe 55.84 Fe.upf
ATOMIC_POSITIONS crystal
Nb 0.5000 0.5000 0.0000
Tm 0.5000 0.5000 0.5000
Fe 0.0000 0.0000 0.7827
Fe 0.0000 0.0000 0.2173
CELL_PARAMETERS angstrom
-0.3421 2.9283 1.0145
-1.4944 0.7383 -2.6350
-5.6852 -1.6237 2.7695
```

Results
Crystal system ... tetragonal
Formation energy from the elements ... -24 meV/atom
Energy above the lowest structure with this stoichiometry ... 0.0000 eV per atom
SG ... P4/mmm

***

# 5
A plane-wave DFT calculation with PBE was carried out for a geometry-optimized Tm3NbFe8 structure. Values from VASP.

The structure in Quantum ESPRESSO input format:
```
&SYSTEM
  ibrav = 0, nat = 12, ntyp = 3
/
ATOMIC_SPECIES
Tm 168.93 Tm.upf
Nb 92.91 Nb.upf
Fe 55.84 Fe.upf
ATOMIC_POSITIONS crystal
Tm 0.3749 0.3749 0.8752
Tm 0.9989 0.9989 0.0034
Tm 0.5007 0.5007 0.4979
Nb 0.8749 0.8749 0.3752
Fe 0.9340 0.4361 0.1938
Fe 0.4418 0.9386 0.6810
Fe 0.4361 0.4361 0.1938
Fe 0.9386 0.9386 0.6810
Fe 0.1877 0.1877 0.4369
Fe 0.6876 0.6876 0.9373
Fe 0.4361 0.9340 0.1938
Fe 0.9386 0.4418 0.6810
CELL_PARAMETERS angstrom
4.8089 0.0000 1.4517
2.1853 4.2836 1.4517
-0.0017 -0.0010 8.6963
```

Results
Crystal system ... trigonal
Formation energy from the elements ... -141 meV/atom
SG ... R3m

***

# 6
A plane-wave DFT calculation with PBE was carried out for a geometry-optimized TmNbFe4 structure. Values from VASP.

The structure in Quantum ESPRESSO input format:
```
&SYSTEM
  ibrav = 0, nat = 12, ntyp = 3
/
ATOMIC_SPECIES
Tm 168.93 Tm.upf
Nb 92.91 Nb.upf
Fe 55.84 Fe.upf
ATOMIC_POSITIONS crystal
Tm 0.3333 0.6667 0.4331
Tm 0.6667 0.3333 0.5669
Nb 0.6667 0.3333 0.9436
Nb 0.3333 0.6667 0.0564
Fe 0.0000 0.0000 0.5000
Fe 0.0000 0.0000 0.0000
Fe 0.8323 0.1677 0.2377
Fe 0.8323 0.6645 0.2377
Fe 0.3355 0.1677 0.2377
Fe 0.1677 0.8323 0.7623
Fe 0.1677 0.3355 0.7623
Fe 0.6645 0.8323 0.7623
CELL_PARAMETERS angstrom
-2.5052 -1.7658 3.8927
4.7341 -1.2880 -0.6905
2.3787 6.3730 4.4217
```

Results
Crystal system ... trigonal
Formation energy from the elements ... -120 meV/atom
SG ... P-3m1

***

Summary of magnetization in Bohr magnetons per cell
0.00; 2.71; 0.00; 0.40; 12.81; 12.58
(order as listed above)
Summary of N(E_F) in states/eV/cell
18.9; 4.9; 11.1; 1.7; 8.2; 10.5
(order as listed above)